Entry 1:
First-principles (GGA-PBE) data for an optimized crystal structure of Li2Tl5Se4, as listed in Alexandria via LeMat-Bulk.

Properties
Raw formation energy ... -0.5395 eV/atom
Total magnetization ... 0.000 μB per formula unit
Symmetry ... No. 2
VASP energy ... -3.23 eV/atom

Lattice parameters (Å, degrees): 4.329 10.010 8.692 122.38 104.49 89.99
Element x y z (fractional)
Tl1 0.500 0.000 0.000
Tl2 0.868 0.663 0.737
Tl3 0.253 0.827 0.505
Tl4 0.747 0.173 0.495
Tl5 0.132 0.337 0.263
Li1 0.547 0.689 0.095
Li2 0.453 0.311 0.905
Se1 0.359 0.454 0.721
Se2 0.904 0.126 0.808
Se3 0.096 0.874 0.192
Se4 0.641 0.546 0.279

Entry 2:
First-principles (GGA-PBE) data for an optimized crystal structure of LiTlSe2, as listed in Alexandria via LeMat-Bulk.

Properties
Raw formation energy ... -0.5000 eV/atom
Total magnetization ... 0.000 μB per formula unit
Symmetry ... No. 156
VASP energy ... -3.31 eV/atom

Lattice parameters (Å, degrees): 4.121 4.121 6.960 90.00 90.00 120.00
Element x y z (fractional)
Se1 0.333 0.667 0.786
Se2 0.667 0.333 0.257
Li1 0.333 0.667 0.415
Tl1 0.000 0.000 0.998

Entry 3:
First-principles (GGA-PBE) data for an optimized crystal structure of Li2Tl3Se3, as listed in Alexandria via LeMat-Bulk.

Properties
Raw formation energy ... -0.6174 eV/atom
Total magnetization ... 0.000 μB per formula unit
Symmetry ... No. 63
VASP energy ... -3.29 eV/atom

Lattice parameters (Å, degrees): 4.230 7.660 13.808 90.00 90.00 106.03
Element x y z (fractional)
Se1 0.371 0.741 0.543
Se2 0.306 0.612 0.250
Se3 0.629 0.259 0.043
Se4 0.694 0.388 0.750
Se5 0.371 0.741 0.957
Se6 0.629 0.259 0.457
Li1 0.769 0.538 0.926
Li2 0.231 0.462 0.074
Li3 0.231 0.462 0.426
Li4 0.769 0.538 0.574
Tl1 0.061 0.122 0.885
Tl2 0.330 0.659 0.750
Tl3 0.670 0.341 0.250
Tl4 0.939 0.878 0.385
Tl5 0.061 0.122 0.615
Tl6 0.939 0.878 0.115

Entry 4:
First-principles (GGA-PBE) data for an optimized crystal structure of LiTl2Se, as listed in Alexandria via LeMat-Bulk.

Properties
Raw formation energy ... -0.4370 eV/atom
Total magnetization ... 0.000 μB per formula unit
Symmetry ... No. 71
VASP energy ... -2.97 eV/atom

Lattice parameters (Å, degrees): 7.826 7.826 3.892 75.55 75.55 27.58
Element x y z (fractional)
Se1 0.750 0.750 0.750
Li1 0.250 0.250 0.250
Tl1 0.079 0.079 0.921
Tl2 0.421 0.421 0.579

Entry 5:
First-principles (GGA-PBE) data for an optimized crystal structure of LiTl2Se, as listed in Alexandria via LeMat-Bulk.

Properties
Raw formation energy ... -0.3600 eV/atom
Total magnetization ... 0.000 μB per formula unit
Symmetry ... No. 123
VASP energy ... -2.89 eV/atom

Lattice parameters (Å, degrees): 4.457 4.455 5.224 90.00 90.00 90.00
Element x y z (fractional)
Tl1 0.500 0.500 0.000
Tl2 0.000 0.000 0.000
Li1 0.500 0.000 0.500
Se1 0.000 0.500 0.500

Entry 6:
First-principles (GGA-PBE) data for an optimized crystal structure of LiTlSe2, as listed in Alexandria via LeMat-Bulk.

Properties
Raw formation energy ... -0.3781 eV/atom
Total magnetization ... 0.000 μB per formula unit
Symmetry ... No. 65
VASP energy ... -3.19 eV/atom

Lattice parameters (Å, degrees): 5.035 5.035 4.068 90.00 90.00 112.12
Element x y z (fractional)
Se1 0.500 0.500 0.000
Se2 0.000 0.000 0.000
Tl1 0.500 0.000 0.500
Li1 0.000 0.500 0.500

Entry 7:
First-principles (GGA-PBE) data for an optimized crystal structure of LiTlSe2, as listed in Alexandria via LeMat-Bulk.

Properties
Raw formation energy ... -0.4386 eV/atom
Total magnetization ... 0.000 μB per formula unit
Symmetry ... No. 140
VASP energy ... -3.25 eV/atom

Lattice parameters (Å, degrees): 7.592 7.592 6.384 53.51 53.51 90.00
Element x y z (fractional)
Tl1 0.750 0.250 0.500
Tl2 0.250 0.750 0.500
Se1 0.304 0.196 0.000
Se2 0.196 0.696 0.000
Se3 0.804 0.304 0.000
Se4 0.696 0.804 0.000
Li1 0.250 0.250 0.500
Li2 0.750 0.750 0.500

Entry 8:
First-principles (GGA-PBE) data for an optimized crystal structure of LiTl2Se, as listed in Alexandria via LeMat-Bulk.

Properties
Raw formation energy ... -0.3250 eV/atom
Total magnetization ... 0.000 μB per formula unit
Symmetry ... No. 139
VASP energy ... -2.86 eV/atom

Lattice parameters (Å, degrees): 6.295 6.295 6.295 139.55 139.55 58.53
Element x y z (fractional)
Tl1 0.000 0.000 0.000
Tl2 0.500 0.500 0.000
Li1 0.250 0.750 0.500
Se1 0.750 0.250 0.500

Entry 9:
First-principles (GGA-PBE) data for an optimized crystal structure of LiTlSe2, as listed in Alexandria via LeMat-Bulk.

Properties
Raw formation energy ... -0.4069 eV/atom
Total magnetization ... 0.000 μB per formula unit
Symmetry ... No. 6
VASP energy ... -3.22 eV/atom

Lattice parameters (Å, degrees): 5.797 3.049 5.479 90.11 90.00 90.00
Element x y z (fractional)
Se1 0.000 0.873 0.888
Se2 0.500 0.374 0.408
Tl1 0.000 0.376 0.381
Li1 0.500 0.877 0.823

Entry 10:
First-principles (GGA-PBE) data for an optimized crystal structure of LiTlSe2, as listed in Alexandria via LeMat-Bulk.

Properties
Raw formation energy ... -0.5425 eV/atom
Total magnetization ... 0.000 μB per formula unit
Symmetry ... No. 1
VASP energy ... -3.35 eV/atom

Lattice parameters (Å, degrees): 9.263 4.244 5.405 93.86 78.65 95.26
Element x y z (fractional)
Li1 0.484 0.366 0.718
Li2 0.699 0.428 0.144
Se1 0.618 0.929 0.421
Se2 0.201 0.520 0.867
Se3 0.581 0.889 0.930
Se4 0.973 0.242 0.057
Tl1 0.920 0.725 0.618
Tl2 0.267 0.047 0.265

Entry 11:
First-principles (GGA-PBE) data for an optimized crystal structure of LiTlSe2, as listed in Alexandria via LeMat-Bulk.

Properties
Raw formation energy ... -0.5424 eV/atom
Total magnetization ... 0.000 μB per formula unit
Symmetry ... No. 14
VASP energy ... -3.35 eV/atom

Lattice parameters (Å, degrees): 16.041 5.076 7.443 90.00 132.89 90.00
Element x y z (fractional)
Tl1 0.694 0.567 0.490
Tl2 0.194 0.933 0.990
Tl3 0.306 0.433 0.510
Tl4 0.806 0.067 0.010
Se1 0.452 0.615 0.302
Se2 0.601 0.043 0.147
Se3 0.899 0.543 0.353
Se4 0.101 0.457 0.647
Se5 0.952 0.885 0.802
Se6 0.048 0.115 0.198
Se7 0.399 0.957 0.853
Se8 0.548 0.385 0.698
Li1 0.514 0.874 0.715
Li2 0.014 0.626 0.215
Li3 0.986 0.374 0.785
Li4 0.486 0.126 0.285

Entry 12:
First-principles (GGA-PBE) data for an optimized crystal structure of LiTlSe2, as listed in Alexandria via LeMat-Bulk.

Properties
Raw formation energy ... -0.4751 eV/atom
Total magnetization ... 0.000 μB per formula unit
Symmetry ... No. 123
VASP energy ... -3.29 eV/atom

Lattice parameters (Å, degrees): 4.099 4.099 5.615 90.00 90.00 90.00
Element x y z (fractional)
Tl1 0.500 0.500 0.000
Se1 0.000 0.000 0.000
Se2 0.500 0.500 0.500
Li1 0.000 0.000 0.500